Density functional theory data (PBE-GGA) for crystalline YCdBS2 at its relaxed geometry.

Summary:
- E_tot: -16.48 eV/cell
- Energy relative to the elements, uncorrected: 1166 meV/atom
- Magnetization: 0.0005 μB per atom
- DOS(E_F): 0.8164 states/eV/atom

a b c (Å): 4.790 4.790 5.826
angles (deg): 90.00 90.00 90.00
Space group P4/mmm (No. 123)
One atom of each set of equivalent atoms:
Y: 0.000 0.000 0.000 (multiplicity 1)
Cd: 0.000 0.000 0.500 (multiplicity 1)
B: 0.500 0.500 0.000 (multiplicity 1)
S: 0.000 0.500 0.500 (multiplicity 2)